VASP calculation (PBE) on a geometry-optimized InTcW2 structure.

The structure in POSCAR format:
```
InTcW2
1.0
-2.309 0.729 1.574
-1.729 -1.185 -1.987
0.406 -7.135 3.902
W Tc In
2 1 1
Direct
0.000 0.000 0.972 W
0.000 0.000 0.528 W
0.500 0.500 0.750 Tc
0.500 0.500 0.250 In
```

Properties
Its space group is P4/mmm (123). The value obtained for the polymorph energy (0 for the lowest one) is 74 meV/atom. Its size of the total moment is 0.00 μB per formula unit. The total energy comes out at -9.39 eV/atom. The formation energy is 362.8 meV per atom.


VASP calculation (PBE) on a geometry-optimized BaCoOs2 structure.

The structure in POSCAR format:
```
BaCoOs2
1.0
-1.241 -0.727 -2.579
2.805 0.245 -1.419
1.424 -7.698 1.485
Ba Os Co
1 2 1
Direct
0.500 0.500 0.250 Ba
0.000 0.000 0.587 Os
0.000 0.000 0.913 Os
0.500 0.500 0.750 Co
```

Properties
Its space group is Pmmm (47). The value obtained for the polymorph energy (0 for the lowest one) is 572 meV/atom. Its size of the total moment is 0.50 μB per formula unit. The total energy comes out at -6.99 eV/atom. The formation energy is 882.7 meV per atom.


VASP calculation (PBE) on a geometry-optimized BeZnOs2 structure.

The structure in POSCAR format:
```
BeZnOs2
1.0
2.836 0.000 0.000
0.000 2.836 0.000
0.000 0.000 6.277
Os Be Zn
2 1 1
Direct
0.000 0.000 0.544 Os
0.000 0.000 0.956 Os
0.500 0.500 0.750 Be
0.500 0.500 0.250 Zn
```

Properties
Its space group is P4/mmm (123). Its size of the total moment is 0.00 μB per formula unit. The total energy comes out at -6.72 eV/atom. The formation energy is 148.8 meV per atom.


VASP calculation (PBE) on a geometry-optimized Rb2HfGaB structure.

The structure in POSCAR format:
```
Rb2HfGaB
1.0
-2.443 2.339 -6.398
0.106 -4.056 -1.523
-6.810 -1.015 2.229
Rb Ga Hf B
2 1 1 1
Direct
0.000 0.000 0.500 Rb
0.500 0.000 0.000 Rb
0.500 0.500 0.500 Ga
0.000 0.000 0.000 Hf
0.000 0.500 0.000 B
```

Properties
Its space group is P4/mmm (123). Its size of the total moment is 0.00 μB per formula unit. The total energy comes out at -3.09 eV/atom. The formation energy is 1229.8 meV per atom.


VASP calculation (PBE) on a geometry-optimized Al2SbOs structure.

The structure in POSCAR format:
```
Al2SbOs
1.0
3.098 0.000 0.000
0.000 3.098 0.000
0.000 0.000 7.722
Al Os Sb
2 1 1
Direct
0.000 0.000 0.050 Al
0.500 0.500 0.286 Al
0.000 0.000 0.469 Os
0.500 0.500 0.696 Sb
```

Properties
Its raw formation energy is 0.07 eV per atom. Its space group is P4mm (99). Its size of the total moment is 0.00 μB per formula unit. The total energy comes out at -5.64 eV/atom.


VASP calculation (PBE) on a geometry-optimized LiNbO2 structure.

The structure in POSCAR format:
```
LiNbO2
1.0
-0.043 -0.654 -2.856
-2.330 -1.348 -1.159
-3.026 4.107 -2.398
O Nb Li
2 1 1
Direct
0.082 0.082 0.755 O
0.249 0.249 0.253 O
0.499 0.499 0.503 Nb
0.670 0.670 0.989 Li
```

Properties
Its raw formation energy is -2.32 eV per atom. Its space group is R3m (160). Its size of the total moment is 0.00 μB per formula unit. The total energy comes out at -7.80 eV/atom.


VASP calculation (PBE) on a geometry-optimized CaAlSn3 structure.

The structure in POSCAR format:
```
CaAlSn3
1.0
5.740 0.000 0.000
0.000 5.740 0.000
0.000 0.000 5.740
Al Ca Sn
1 1 3
Direct
0.500 0.500 0.500 Al
0.000 0.000 0.000 Ca
0.000 0.500 0.000 Sn
0.000 0.000 0.500 Sn
0.500 0.000 0.000 Sn
```

Properties
Its space group is Pm-3m (221). The value obtained for the polymorph energy (0 for the lowest one) is 707 meV/atom. Its size of the total moment is 0.00 μB per formula unit. The total energy comes out at -2.75 eV/atom. The formation energy is 796.1 meV per atom.


VASP calculation (PBE) on a geometry-optimized Cd2Ag5Au2 structure.

The structure in POSCAR format:
```
Cd2Ag5Au2
1.0
3.999 1.348 -0.618
-0.183 5.579 -3.673
-0.905 -0.527 7.664
Ag Cd Au
5 2 2
Direct
0.112 0.443 0.667 Ag
0.888 0.557 0.333 Ag
0.777 0.112 0.668 Ag
0.223 0.888 0.332 Ag
0.000 0.000 0.000 Ag
0.443 0.786 0.671 Cd
0.557 0.214 0.329 Cd
0.668 0.664 0.998 Au
0.332 0.336 0.002 Au
```

Properties
Its space group is P-1 (2). The value obtained for the polymorph energy (0 for the lowest one) is 0 meV/atom. Its size of the total moment is 0.00 μB per formula unit. The total energy comes out at -2.58 eV/atom. The formation energy is -67.2 meV per atom.


What did the fifth record say?
VASP calculation (PBE) on a geometry-optimized Al2SbOs structure.

The structure in POSCAR format:
```
Al2SbOs
1.0
3.098 0.000 0.000
0.000 3.098 0.000
0.000 0.000 7.722
Al Os Sb
2 1 1
Direct
0.000 0.000 0.050 Al
0.500 0.500 0.286 Al
0.000 0.000 0.469 Os
0.500 0.500 0.696 Sb
```

Properties
Its raw formation energy is 0.07 eV per atom. Its space group is P4mm (99). Its size of the total moment is 0.00 μB per formula unit. The total energy comes out at -5.64 eV/atom.


> Look up the size of the total moment of the fourth one.

0.00 μB per formula unit


> Which of these has the highest size of the total moment?

BaCoOs2